# Ac2Si5Ir3

A relaxed Ac2Si5Ir3 crystal (GGA-PBE, Alexandria via LeMat-Bulk).

Structure (POSCAR):
```
Ac2Si5Ir3
1.0
0.6670 -5.9973 -0.3765
1.7326 -2.3690 -7.9381
7.7280 -2.3586 2.5184
Ac Ir Si
4 6 10
Direct
0.7656 0.6057 0.8631
0.2344 0.3943 0.1369
0.2656 0.8631 0.6057
0.7344 0.1369 0.3943
0.7500 0.0004 0.9996
0.3881 0.4755 0.7499
0.1119 0.2501 0.5245
0.8881 0.7499 0.4755
0.2500 0.9996 0.0004
0.6119 0.5245 0.2501
0.2500 0.2329 0.7671
0.7500 0.7671 0.2329
0.7500 0.5005 0.4995
0.3549 0.0361 0.2555
0.6451 0.9639 0.7445
0.1451 0.7445 0.9639
0.2500 0.4995 0.5005
0.8549 0.2555 0.0361
0.2500 0.7677 0.2323
0.7500 0.2323 0.7677
```

Summary:
E_form (uncorrected), eV/atom: -0.852
Crystal system: monoclinic
Total DFT energy (no corrections), eV/cell: -140.88